# ScNi2Sb2 | the Alexandria database | PBE | optimized geometry
# E_tot in eV per atom: -5.42
# Symmetry: No. 127
# Energy relative to the elements, uncorrected in eV per atom: -0.190
data_ScNi2Sb2
_chemical_formula_sum 'Sc2 Ni4 Sb4'
_cell_length_a 7.5964
_cell_length_b 7.5964
_cell_length_c 3.1496
_cell_angle_alpha 90.00
_cell_angle_beta 90.00
_cell_angle_gamma 90.00
_space_group_name_H-M_alt 'P 1'
_space_group_IT_number 1
loop_
_space_group_symop_operation_xyz
'x,y,z'
loop_
_atom_site_label
_atom_site_type_symbol
_atom_site_fract_x
_atom_site_fract_y
_atom_site_fract_z
Sc1 Sc 0.0000 0.0000 0.0000
Sc2 Sc 0.5000 0.5000 0.0000
Sb1 Sb 0.3450 0.8450 0.0000
Sb2 Sb 0.8450 0.6550 0.0000
Sb3 Sb 0.6550 0.1550 0.0000
Sb4 Sb 0.1550 0.3450 0.0000
Ni1 Ni 0.1355 0.6355 0.5000
Ni2 Ni 0.6355 0.8645 0.5000
Ni3 Ni 0.8645 0.3645 0.5000
Ni4 Ni 0.3645 0.1355 0.5000